DFT (PBE-GGA) results for a relaxed In2Ga2Au5 crystal.

Unit cell a=6.937 b=6.937 c=8.757 alpha=126.15 beta=126.15 gamma=37.55
Element x y z (fractional)
1 In 0.132 0.132 0.416
2 In 0.868 0.868 0.584
3 Ga 0.378 0.378 0.102
4 Ga 0.622 0.622 0.898
5 Au 0.143 0.143 0.762
6 Au 0.383 0.383 0.801
7 Au 0.500 0.500 0.500
8 Au 0.617 0.617 0.199
9 Au 0.857 0.857 0.238

Offset from the most stable computed form = 0.0 kJ per mole of atoms
Energy of formation = -0.14 eV per atom
Raw total energy = -29.2 eV for the cell shown